Below is an optimized crystal structure of Zn2CdSi2, with properties calculated at the PBE-GGA level.

Cell lengths 7.9705, 7.9705, 2.7530 Å; angles 90.00, 90.00, 90.00 degrees
Element x y z (fractional)
Si 0.8594 0.6406 0.0000
Si 0.3594 0.8594 0.0000
Si 0.1406 0.3594 0.0000
Si 0.6406 0.1406 0.0000
Zn 0.1544 0.6544 0.5000
Zn 0.3456 0.1544 0.5000
Zn 0.8456 0.3456 0.5000
Zn 0.6544 0.8456 0.5000
Cd 0.0000 0.0000 0.0000
Cd 0.5000 0.5000 0.0000

## Properties
For the calculated volume, the calculation gives 87.4 Å³/f.u. As for the energy above the most stable polymorph in this dataset: 45 kJ/mol of formula units. Its total DFT energy (no corrections) is -2.556 eV/atom. The space group is P4/mbm, No. 127. The calculation puts the formation energy without anion corrections at 0.306 eV per atom. The calculation puts the density of states at the Fermi level at 1.3 states/eV/f.u.